Tb3Dy2Ru3 after structural relaxation, computed with GGA-PBE.

Unit cell a=3.471 b=5.120 c=10.803 alpha=103.71 beta=99.24 gamma=90.00
Atoms (fractional coordinates):
Tb 0.611 0.611 0.221
Dy 0.282 0.782 0.563
Dy 0.718 0.218 0.437
Ru 0.885 0.885 0.770
Tb 0.389 0.389 0.779
Ru 0.115 0.115 0.230
Ru 0.000 0.500 0.000
Tb 0.500 0.000 0.000

## Properties
* raw total energy: -6.6348 eV/atom
* formation energy: -2.16 eV/f.u.
* volume: 183.9 Å³ per cell
* space group: No. 71
* magnetization: 0.00 μB per formula unit

BaInGaF6 after structural relaxation, computed with GGA-PBE.

Unit cell a=5.828 b=5.828 c=4.798 alpha=90.00 beta=90.00 gamma=59.99
Atoms (fractional coordinates):
F 0.648 0.175 0.347
F 0.498 0.496 0.784
F 0.174 0.177 0.347
F 0.006 0.498 0.784
F 0.496 0.006 0.784
Ga 0.333 0.333 0.577
F 0.177 0.648 0.347
Ba 0.667 0.667 0.248
In 0.000 0.000 0.782

## Properties
* raw total energy: -4.9542 eV/atom
* uncorrected formation energy: -2477 kJ/mol of formula units
* volume: 141.1 Å³ per cell
* space group: No. 143
* magnetization: 0.00 μB per formula unit

RbPuSeO6 after structural relaxation, computed with GGA-PBE.

Unit cell a=6.192 b=5.897 c=5.900 alpha=89.97 beta=90.10 gamma=60.29
Site moments in Bohr magnetons follow the coordinates.
Atoms (fractional coordinates):
Se 0.425 0.331 0.484  0.00
O 0.402 0.594 0.315  -0.03
O 0.917 0.664 0.702  -0.16
Rb 0.003 0.997 0.011  0.00
O 0.910 0.463 0.303  -0.08
O 0.422 0.894 0.692  -0.08
O 0.599 0.057 0.318  -0.02
Pu 0.674 0.672 0.506  1.43
O 0.647 0.328 0.669  -0.02

## Properties
* raw total energy: -7.1423 eV/atom
* uncorrected formation energy: -1519 kJ/mol of formula units
* volume: 187.1 Å³ per cell
* space group: No. 1
* magnetization: 1.00 μB per formula unit